Entry from Alexandria: a relaxed Pm2Pr5Pt4 crystal (PBE).

abc: 10.856 10.856 8.216
angles: 104.30 104.30 21.49
Sites, in units of the cell vectors:
1 Pm 0.210 0.210 0.317
2 Pm 0.790 0.790 0.683
3 Pr 0.000 0.000 0.000
4 Pr 0.332 0.332 0.075
5 Pr 0.412 0.412 0.518
6 Pr 0.588 0.588 0.482
7 Pr 0.668 0.668 0.925
8 Pt 0.192 0.192 0.662
9 Pt 0.469 0.469 0.229
10 Pt 0.531 0.531 0.771
11 Pt 0.808 0.808 0.338

Calculated values
As for the symmetry: C2/m (12). The energy of formation is -663 meV/atom.

---

Entry from Alexandria: a relaxed Cs2CoPbCl6 crystal (PBE).

abc: 7.547 7.547 7.547
angles: 60.00 60.00 60.00
Sites, in units of the cell vectors:
1 Cs 0.250 0.250 0.250
2 Cs 0.750 0.750 0.750
3 Co 0.000 0.000 0.000
4 Pb 0.500 0.500 0.500
5 Cl 0.231 0.231 0.769
6 Cl 0.231 0.769 0.231
7 Cl 0.231 0.769 0.769
8 Cl 0.769 0.231 0.231
9 Cl 0.769 0.231 0.769
10 Cl 0.769 0.769 0.231

Calculated values
The value obtained for the formation energy without anion corrections is -1.305 eV/atom. As for the symmetry: Fm-3m (225).

---

Entry from Alexandria: a relaxed Er4AgRh2 crystal (PBE).

abc: 7.299 7.319 7.702
angles: 108.95 108.88 108.25
Sites, in units of the cell vectors:
1 Er 0.000 0.000 0.000
2 Er 0.017 0.989 0.504
3 Er 0.110 0.472 0.370
4 Er 0.364 0.836 0.198
5 Er 0.462 0.572 0.825
6 Er 0.488 0.099 0.878
7 Er 0.591 0.454 0.334
8 Er 0.854 0.353 0.705
9 Ag 0.618 0.860 0.600
10 Ag 0.869 0.610 0.104
11 Rh 0.113 0.734 0.732
12 Rh 0.233 0.352 0.972
13 Rh 0.369 0.214 0.470
14 Rh 0.750 0.101 0.237

Calculated values
As for the symmetry: P1 (1). The energy of formation is -603 meV/atom.

---

Number 1: spin magnetization 0.000 μB per atom. Number 2: spin magnetization 0.300 μB per atom. Number 3: spin magnetization 0.000 μB per atom.